Material: BaCrTe2
Method: DFT, PBE
State: optimized geometry

Results
Formation energy without anion corrections, eV/atom: -0.5655
Calculated total energy, eV per atom: -5.023

abc: 4.378 4.378 7.525
angles: 90.00 90.00 90.00
Last column: magnetic moment on the atom in μB.
Fractional coordinates of all 4 atoms:
Ba: 0.000 0.000 0.428  0.02
Cr: 0.500 0.500 0.913  3.79
Te: 0.000 0.000 0.888  -0.15
Te: 0.500 0.500 0.270  -0.06